Here is TcRh2Se at its PBEsol-relaxed geometry from Alexandria. Energies are from SCAN.

```
TcRh2Se
1.0
2.898 0.000 0.000
0.000 4.415 0.000
0.000 0.000 4.429
Rh Tc Se
2 1 1
Cartesian
0.000 0.000 0.000
1.449 0.000 2.214
0.000 2.207 2.214
1.449 2.207 0.000
```

Computed properties:
Its space group is Pmmm. The calculation puts the final energy at -121.61 eV for the cell shown. The calculation puts the magnetization at 0.375 μB per atom.